AlReTcW: relaxed, GGA-PBE.

Lattice parameters (Å, degrees): 6.2028 6.2028 6.2028 90.00 90.00 90.00
Space group F-43m (No. 216)
Symmetry-distinct sites (fractional):
Al  0.0000  0.0000  0.0000 (multiplicity 4)
Re  0.2500  0.2500  0.2500 (multiplicity 4)
Tc  0.2500  0.2500  0.7500 (multiplicity 4)
W  0.0000  0.0000  0.5000 (multiplicity 4)

Calculated values
DFT formation energy = -216.2 meV/atom